(1)
Entry from the Alexandria database: Sr4AgMo after structural relaxation (PBE).

The structure in POSCAR format:
```
Sr4AgMo
1.0
0.000 4.974 4.974
4.974 0.000 4.974
4.974 4.974 0.000
Sr Ag Mo
4 1 1
Direct
0.125 0.125 0.125 Sr
0.125 0.125 0.624 Sr
0.125 0.624 0.125 Sr
0.624 0.125 0.125 Sr
0.750 0.750 0.750 Ag
0.500 0.500 0.500 Mo
```

Properties
DFT formation energy ... 1.099 eV/atom
D(E_F) ... 6.807 states/eV/cell
Size of the total moment ... 4.22 μB per cell
Space-group type ... No. 216

=====

(2)
Entry from the Alexandria database: Cs2LiLaI6 after structural relaxation (PBE).

The structure in POSCAR format:
```
Cs2LiLaI6
1.0
0.000 6.157 6.157
6.157 0.000 6.157
6.157 6.157 0.000
Cs Li La I
2 1 1 6
Direct
0.250 0.250 0.250 Cs
0.750 0.750 0.750 Cs
0.000 0.000 0.000 Li
0.500 0.500 0.500 La
0.244 0.244 0.756 I
0.244 0.756 0.244 I
0.244 0.756 0.756 I
0.756 0.244 0.244 I
0.756 0.244 0.756 I
0.756 0.756 0.244 I
```

Properties
D(E_F) ... 0.000 states/eV/cell
Formation energy without anion corrections ... -1.4807 eV per atom
Size of the total moment ... 0.00 μB per cell
Space-group type ... No. 225
Polymorph energy (0 for the lowest one) ... 4 meV per atom

=====

(3)
Entry from the Alexandria database: LiTcHg2 after structural relaxation (PBE).

The structure in POSCAR format:
```
LiTcHg2
1.0
3.461 0.000 0.000
0.000 3.461 0.000
0.000 0.000 6.129
Li Tc Hg
1 1 2
Direct
0.000 0.000 0.000 Li
0.500 0.500 0.234 Tc
0.000 0.000 0.463 Hg
0.500 0.500 0.777 Hg
```

Properties
DFT formation energy ... 0.417 eV/atom
D(E_F) ... 2.297 states/eV/cell
Size of the total moment ... 1.79 μB per cell
Space-group type ... No. 99
Polymorph energy (0 for the lowest one) ... 258 meV per atom

=====

(4)
Entry from the Alexandria database: RhW2Cl after structural relaxation (PBE).

The structure in POSCAR format:
```
RhW2Cl
1.0
2.806 0.000 0.000
0.000 3.967 0.000
-0.012 0.000 5.797
Rh W Cl
1 2 1
Direct
0.000 0.000 0.000 Rh
0.499 0.500 0.774 W
0.501 0.500 0.226 W
0.500 0.000 0.500 Cl
```

Properties
D(E_F) ... 2.261 states/eV/cell
Formation energy without anion corrections ... 0.4775 eV per atom
Size of the total moment ... 0.00 μB per cell
Space-group type ... No. 10
Polymorph energy (0 for the lowest one) ... 296 meV per atom

=====

(5)
Entry from the Alexandria database: ReN after structural relaxation (PBE).

The structure in POSCAR format:
```
ReN
1.0
5.561 0.000 0.000
0.000 5.592 0.000
0.000 0.000 6.708
Re N
8 8
Direct
0.127 0.008 0.253 Re
0.236 0.368 0.981 Re
0.264 0.632 0.481 Re
0.373 0.992 0.753 Re
0.627 0.492 0.747 Re
0.736 0.132 0.019 Re
0.764 0.868 0.519 Re
0.873 0.508 0.247 Re
0.110 0.966 0.549 N
0.199 0.360 0.287 N
0.301 0.640 0.787 N
0.390 0.034 0.049 N
0.610 0.534 0.451 N
0.699 0.140 0.713 N
0.801 0.860 0.213 N
0.890 0.466 0.951 N
```

Properties
D(E_F) ... 2.317 states/eV/cell
Formation energy without anion corrections ... 0.2954 eV per atom
Size of the total moment ... 0.00 μB per cell
Space-group type ... No. 19
Polymorph energy (0 for the lowest one) ... 251 meV per atom

=====

(6)
Entry from the Alexandria database: GaPPb3 after structural relaxation (PBE).

The structure in POSCAR format:
```
GaPPb3
1.0
5.481 0.000 0.000
0.000 5.481 0.000
0.000 0.000 5.481
Ga P Pb
1 1 3
Direct
0.000 0.000 0.000 Ga
0.500 0.500 0.500 P
0.000 0.500 0.500 Pb
0.500 0.000 0.500 Pb
0.500 0.500 0.000 Pb
```

Properties
DFT formation energy ... 0.467 eV/atom
D(E_F) ... 3.641 states/eV/cell
Size of the total moment ... 0.00 μB per cell
Space-group type ... No. 221
Polymorph energy (0 for the lowest one) ... 0 meV per atom

=====

(7)
Entry from the Alexandria database: Tm2ReC after structural relaxation (PBE).

The structure in POSCAR format:
```
Tm2ReC
1.0
1.634 0.943 8.339
-1.634 0.943 8.339
0.000 -1.887 8.339
Tm Re C
2 1 1
Direct
0.112 0.112 0.112 Tm
0.888 0.888 0.888 Tm
0.000 0.000 0.000 Re
0.500 0.500 0.500 C
```

Properties
DFT formation energy ... 0.581 eV/atom
D(E_F) ... 2.323 states/eV/cell
Size of the total moment ... 0.00 μB per cell
Space-group type ... No. 166

=====

(8)
Entry from the Alexandria database: ZrTaCu2 after structural relaxation (PBE).

The structure in POSCAR format:
```
ZrTaCu2
1.0
5.111 -1.441 0.000
5.111 1.441 0.000
-1.975 0.000 4.411
Zr Ta Cu
1 1 2
Direct
0.000 0.000 0.000 Zr
0.773 0.773 0.343 Ta
0.238 0.238 0.817 Cu
0.528 0.528 0.513 Cu
```

Properties
DFT formation energy ... 0.084 eV/atom
D(E_F) ... 3.113 states/eV/cell
Size of the total moment ... 0.00 μB per cell
Space-group type ... No. 8